Record 1
A plane-wave DFT calculation with PBE was carried out for a relaxed structure of La2NdMg6.

Computed properties:
* E_form: -107 meV per atom
* E: -2.795 eV per atom

Unit cell a=9.277 b=9.277 c=3.390 alpha=90.00 beta=90.00 gamma=120.00
Fractional positions:
La 0.333 0.667 0.000
La 0.667 0.333 0.000
Nd 0.000 0.000 0.000
Mg 0.668 0.000 0.500
Mg 0.000 0.668 0.500
Mg 0.332 0.000 0.500
Mg 0.668 0.668 0.500
Mg 0.000 0.332 0.500
Mg 0.332 0.332 0.500

Record 2
A plane-wave DFT calculation with PBE was carried out for a relaxed structure of Pr2NdSmHo5.

Computed properties:
* E_form: 253 meV per atom
* E: -4.406 eV per atom

Unit cell a=8.720 b=8.720 c=9.970 alpha=115.93 beta=115.93 gamma=90.00
Fractional positions:
Pr 0.118 0.382 0.000
Pr 0.618 0.118 0.000
Pr 0.382 0.882 0.000
Pr 0.882 0.618 0.000
Nd 0.250 0.250 0.500
Nd 0.750 0.750 0.500
Sm 0.250 0.750 0.500
Sm 0.750 0.250 0.500
Ho 0.928 0.428 0.277
Ho 0.651 0.151 0.723
Ho 0.072 0.572 0.723
Ho 0.151 0.072 0.723
Ho 0.572 0.651 0.723
Ho 0.849 0.928 0.277
Ho 0.428 0.349 0.277
Ho 0.349 0.849 0.277
Ho 0.500 0.500 0.000
Ho 0.000 0.000 0.000

Record 3
A plane-wave DFT calculation with PBE was carried out for a relaxed structure of La6Cu2Tc.

Computed properties:
* E_form: -49 meV per atom
* E: -5.396 eV per atom

Unit cell a=6.816 b=7.658 c=10.635 alpha=90.00 beta=86.93 gamma=90.00
Fractional positions:
La 0.147 0.041 0.251
La 0.168 0.318 0.570
La 0.170 0.313 0.934
La 0.330 0.813 0.566
La 0.332 0.818 0.930
La 0.353 0.541 0.249
La 0.853 0.959 0.749
La 0.832 0.682 0.430
La 0.830 0.687 0.066
La 0.670 0.187 0.434
La 0.668 0.182 0.070
La 0.647 0.459 0.751
Cu 0.062 0.611 0.765
Cu 0.438 0.111 0.735
Cu 0.562 0.889 0.265
Cu 0.938 0.389 0.235
Tc 0.500 0.500 0.000
Tc 0.000 0.000 0.500